CeErOs PBE relaxed; volume = 25.76 Å³/atom; mass density = 10.7 g cm⁻³; Fermi-level density of states = 1.660 states/eV per atom; polymorph energy (0 for the lowest one) = 0.00 eV per formula unit; calculated formation energy = -0.176 eV per atom
1.0
4.772 -0.030 -0.448
-2.367 4.189 0.199
-1.676 -1.367 7.924
Os Er Ce
2 2 2
Direct
0.493 0.246 0.742
0.507 0.754 0.258
0.253 0.626 0.879
0.747 0.374 0.121
0.752 0.876 0.628
0.248 0.124 0.372